# NdYHo2Tm2 | the Alexandria database | GGA-PBE | relaxed
# Final energy ... -4.82 eV/atom
# Calculated formation energy ... 0.073 eV per atom
data_NdYHo2Tm2
_cell_length_a 6.916
_cell_length_b 9.744
_cell_length_c 5.602
_cell_angle_alpha 90.00
_cell_angle_beta 90.00
_cell_angle_gamma 90.00
_space_group_name_H-M_alt 'P n n m'
_space_group_IT_number 58
loop_
_space_group_symop_operation_xyz
'x,y,z'
'-x,-y,-z'
'-x,-y,z'
'x,y,-z'
'x+1/2,-y+1/2,-z+1/2'
'-x+1/2,y+1/2,z+1/2'
'-x+1/2,y+1/2,-z+1/2'
'x+1/2,-y+1/2,z+1/2'
loop_
_atom_site_label
_atom_site_type_symbol
_atom_site_fract_x
_atom_site_fract_y
_atom_site_fract_z
Nd1 Nd 0.000 0.000 0.000
Y1 Y 0.000 0.500 0.500
Ho1 Ho 0.249 0.333 0.000
Tm1 Tm 0.249 0.667 0.000

***

# Ca2BeP | the Alexandria database | GGA-PBE | relaxed
# Final energy ... -3.43 eV/atom
# Calculated formation energy ... -0.145 eV per atom
data_Ca2BeP
_cell_length_a 7.504
_cell_length_b 4.335
_cell_length_c 6.888
_cell_angle_alpha 90.00
_cell_angle_beta 111.39
_cell_angle_gamma 90.00
_space_group_name_H-M_alt 'C 1 2/m 1'
_space_group_IT_number 12
loop_
_space_group_symop_operation_xyz
'x,y,z'
'-x,-y,-z'
'-x,y,-z'
'x,-y,z'
'x+1/2,y+1/2,z'
'-x+1/2,-y+1/2,-z'
'-x+1/2,y+1/2,-z'
'x+1/2,-y+1/2,z'
loop_
_atom_site_label
_atom_site_type_symbol
_atom_site_fract_x
_atom_site_fract_y
_atom_site_fract_z
Ca1 Ca 0.240 0.000 0.218
Be1 Be 0.000 0.000 0.500
P1 P 0.000 0.500 0.000

***

> The lowest calculated formation energy belongs to which entry?

Ca2BeP

***

> The lowest final energy belongs to which entry?

NdYHo2Tm2

***

> calculated formation energy of number 2 (Ca2BeP)?

-0.145 eV per atom